Entry 1:
# DyEr3Sc2Se6 | Alexandria | GGA-PBE | optimized geometry
data_DyEr3Sc2Se6
_cell_length_a 6.9186
_cell_length_b 6.9186
_cell_length_c 6.9227
_cell_angle_alpha 99.55
_cell_angle_beta 99.55
_cell_angle_gamma 120.23
_space_group_name_H-M_alt 'P 1'
_space_group_IT_number 1
_space_group_name_Hall 'P 1'
loop_
_atom_site_label
_atom_site_type_symbol
_atom_site_fract_x
_atom_site_fract_y
_atom_site_fract_z
_atom_site_occupancy
Sc1 Sc 0.3348 0.6652 0.0000 1
Se1 Se 0.5754 0.9187 0.7550 1
Er1 Er 0.5000 0.5000 0.5000 1
Er2 Er 0.1609 0.8391 0.5000 1
Se2 Se 0.9187 0.5754 0.7550 1
Se3 Se 0.2627 0.2627 0.7596 1
Se4 Se 0.4246 0.0813 0.2450 1
Se5 Se 0.0813 0.4246 0.2450 1
Er3 Er 0.8391 0.1609 0.5000 1
Se6 Se 0.7373 0.7373 0.2404 1
Sc2 Sc 0.6652 0.3348 0.0000 1
Dy1 Dy 0.0000 0.0000 0.0000 1
# total DFT energy (no corrections) = -5.99 eV/atom
# E_form (uncorrected) = -19.98 eV/f.u.
# space group = No. 12

Entry 2:
# Dy3Er3ScSe8 | Alexandria | GGA-PBE | optimized geometry
data_Dy3Er3ScSe8
_cell_length_a 8.0554
_cell_length_b 8.0557
_cell_length_c 8.0639
_cell_angle_alpha 119.97
_cell_angle_beta 90.00
_cell_angle_gamma 120.00
_space_group_name_H-M_alt 'P 1'
_space_group_IT_number 1
_space_group_name_Hall 'P 1'
loop_
_atom_site_label
_atom_site_type_symbol
_atom_site_fract_x
_atom_site_fract_y
_atom_site_fract_z
_atom_site_occupancy
Se1 Se 0.7512 0.9977 0.7446 1
Se2 Se 0.7535 0.0023 0.2554 1
Se3 Se 0.2488 0.0023 0.2554 1
Er1 Er 0.5000 0.0000 0.5000 1
Er2 Er 0.0000 0.5000 0.5000 1
Dy1 Dy 0.5000 0.5000 0.0000 1
Se4 Se 0.2465 0.9977 0.7446 1
Se5 Se 0.2468 0.4935 0.7442 1
Se6 Se 0.7532 0.5065 0.2558 1
Er3 Er 0.5000 0.5000 0.5000 1
Se7 Se 0.2512 0.5023 0.2533 1
Sc1 Sc 0.0000 0.0000 0.5000 1
Dy2 Dy 0.0000 0.5000 0.0000 1
Se8 Se 0.7488 0.4977 0.7467 1
Dy3 Dy 0.0000 0.0000 0.0000 1
# total DFT energy (no corrections) = -5.91 eV/atom
# E_form (uncorrected) = -26.92 eV/f.u.
# space group = No. 166

Entry 3:
# Dy3Er2ScSe6 | Alexandria | GGA-PBE | optimized geometry
data_Dy3Er2ScSe6
_cell_length_a 4.0210
_cell_length_b 8.0943
_cell_length_c 9.0126
_cell_angle_alpha 103.24
_cell_angle_beta 102.89
_cell_angle_gamma 90.00
_space_group_name_H-M_alt 'P 1'
_space_group_IT_number 1
_space_group_name_Hall 'P 1'
loop_
_atom_site_label
_atom_site_type_symbol
_atom_site_fract_x
_atom_site_fract_y
_atom_site_fract_z
_atom_site_occupancy
Dy1 Dy 0.5000 0.5000 0.0000 1
Er1 Er 0.8340 0.6680 0.6681 1
Se1 Se 0.3381 0.9165 0.6761 1
Sc1 Sc 0.5000 0.0000 0.0000 1
Se2 Se 0.6619 0.0835 0.3239 1
Er2 Er 0.1660 0.3320 0.3319 1
Se3 Se 0.9996 0.2400 0.9991 1
Se4 Se 0.0004 0.7600 0.0009 1
Dy2 Dy 0.8313 0.1645 0.6626 1
Dy3 Dy 0.1687 0.8355 0.3374 1
Se5 Se 0.3325 0.4186 0.6649 1
Se6 Se 0.6675 0.5814 0.3351 1
# total DFT energy (no corrections) = -5.88 eV/atom
# E_form (uncorrected) = -20.40 eV/f.u.
# space group = No. 12

Entry 4:
# DyErSc2Se4 | Alexandria | GGA-PBE | optimized geometry
data_DyErSc2Se4
_cell_length_a 3.9404
_cell_length_b 6.8831
_cell_length_c 6.8926
_cell_angle_alpha 70.87
_cell_angle_beta 90.00
_cell_angle_gamma 90.00
_space_group_name_H-M_alt 'P 1'
_space_group_IT_number 1
_space_group_name_Hall 'P 1'
loop_
_atom_site_label
_atom_site_type_symbol
_atom_site_fract_x
_atom_site_fract_y
_atom_site_fract_z
_atom_site_occupancy
Sc1 Sc 0.5000 0.0000 0.5000 1
Se1 Se 0.5000 0.2371 0.7526 1
Se2 Se 0.0000 0.2358 0.2564 1
Dy1 Dy 0.5000 0.5000 0.0000 1
Se3 Se 0.0000 0.7642 0.7436 1
Sc2 Sc 0.0000 0.0000 0.0000 1
Er1 Er 0.0000 0.5000 0.5000 1
Se4 Se 0.5000 0.7629 0.2474 1
# total DFT energy (no corrections) = -6.12 eV/atom
# E_form (uncorrected) = -13.21 eV/f.u.
# space group = No. 10

Entry 5:
# Dy4Er3ScSe8 | Alexandria | GGA-PBE | optimized geometry
data_Dy4Er3ScSe8
_cell_length_a 8.0655
_cell_length_b 8.0933
_cell_length_c 8.0662
_cell_angle_alpha 119.89
_cell_angle_beta 120.00
_cell_angle_gamma 90.00
_space_group_name_H-M_alt 'P 1'
_space_group_IT_number 1
_space_group_name_Hall 'P 1'
loop_
_atom_site_label
_atom_site_type_symbol
_atom_site_fract_x
_atom_site_fract_y
_atom_site_fract_z
_atom_site_occupancy
Dy1 Dy 0.0000 0.0000 0.0000 1
Se1 Se 0.7549 0.2576 0.0024 1
Er1 Er 0.5000 0.5000 0.0000 1
Se2 Se 0.7525 0.7424 0.9976 1
Se3 Se 0.2447 0.7421 0.4893 1
Se4 Se 0.7553 0.2579 0.5107 1
Se5 Se 0.2475 0.2576 0.0024 1
Se6 Se 0.2451 0.7424 0.9976 1
Er2 Er 0.5000 0.5000 0.5000 1
Er3 Er 0.0000 0.5000 0.5000 1
Sc1 Sc 0.0000 0.5000 0.0000 1
Se7 Se 0.7489 0.7462 0.4977 1
Dy2 Dy 0.0000 0.0000 0.5000 1
Se8 Se 0.2511 0.2538 0.5023 1
Dy3 Dy 0.5000 0.0000 0.5000 1
Dy4 Dy 0.5000 0.0000 0.0000 1
# total DFT energy (no corrections) = -5.84 eV/atom
# E_form (uncorrected) = -27.21 eV/f.u.
# space group = No. 166

Entry 6:
# SmDy6Er2Sc | Alexandria | GGA-PBE | optimized geometry
data_SmDy6Er2Sc
_cell_length_a 9.3236
_cell_length_b 8.6940
_cell_length_c 8.6940
_cell_angle_alpha 117.11
_cell_angle_beta 93.33
_cell_angle_gamma 93.33
_space_group_name_H-M_alt 'P 1'
_space_group_IT_number 1
_space_group_name_Hall 'P 1'
loop_
_atom_site_label
_atom_site_type_symbol
_atom_site_fract_x
_atom_site_fract_y
_atom_site_fract_z
_atom_site_occupancy
Sc1 Sc 0.7500 0.5850 0.4150 1
Er1 Er 0.5492 0.2035 0.3075 1
Sc2 Sc 0.2500 0.4150 0.5850 1
Dy1 Dy 0.6142 0.4893 0.7083 1
Dy2 Dy 0.0552 0.1255 0.7564 1
Dy3 Dy 0.5552 0.7564 0.1255 1
Dy4 Dy 0.1889 0.5603 0.0035 1
Dy5 Dy 0.9448 0.8745 0.2436 1
Er2 Er 0.0492 0.3075 0.2035 1
Dy6 Dy 0.6889 0.0035 0.5603 1
Er3 Er 0.9508 0.6925 0.7965 1
Dy7 Dy 0.4448 0.2436 0.8745 1
Dy8 Dy 0.3111 0.9965 0.4397 1
Sm1 Sm 0.7500 0.0254 0.9746 1
Er4 Er 0.4508 0.7965 0.6925 1
Dy9 Dy 0.1142 0.7083 0.4893 1
Dy10 Dy 0.8111 0.4397 0.9965 1
Dy11 Dy 0.3858 0.5107 0.2917 1
Dy12 Dy 0.8858 0.2917 0.5107 1
Sm2 Sm 0.2500 0.9746 0.0254 1
# total DFT energy (no corrections) = -4.65 eV/atom
# E_form = 1.29 eV/f.u.
# space group = No. 15

no.,size of the total moment (μB per formula unit)
1,0.0
2,0.0
3,0.0
4,0.0
5,0.0
6,0.0